Density functional theory data (PBE) for crystalline Cs2Li2Hg at its relaxed geometry.

Computed properties:
ΔE_f in meV per atom: 71
Magnetic moment in μB per atom: 0.000
Energy above the most stable polymorph in this dataset in meV per atom: 27.7
DFT total energy in eV/atom: -1.097

Lattice parameters (Å, degrees): 8.134 8.134 6.495 90.00 90.00 90.00
Atoms (fractional coordinates):
Cs  0.189  0.311  0.000
Cs  0.311  0.811  0.000
Cs  0.689  0.189  0.000
Cs  0.811  0.689  0.000
Li  0.147  0.647  0.500
Li  0.353  0.147  0.500
Li  0.647  0.853  0.500
Li  0.853  0.353  0.500
Hg  0.000  0.000  0.500
Hg  0.500  0.500  0.500



Density functional theory data (PBE) for crystalline RbBrCl2 at its relaxed geometry.

Computed properties:
Magnetic moment in μB per atom: 0.000
Formation energy from raw total energies in meV/atom: -692
DFT total energy in eV/atom: -2.275

Lattice parameters (Å, degrees): 9.991 9.991 9.991 146.53 146.53 48.06
Atoms (fractional coordinates):
Rb  0.000  0.000  0.000
Rb  0.750  0.250  0.500
Br  0.250  0.750  0.500
Br  0.500  0.500  0.000
Cl  0.216  0.625  0.091
Cl  0.375  0.466  0.591
Cl  0.534  0.125  0.909
Cl  0.875  0.784  0.409